CaTlNi | PBE | relaxed

Energy of formation = -0.35 eV per formula unit

Lattice parameters (Å, degrees): 4.5634 4.5634 3.8752 90.00 90.00 120.00
Space group P3m1 (No. 156)
Unique sites:
Ca1 0.0000 0.0000 0.0000 x1
Tl1 0.3333 0.6667 0.5000 x1
Ni1 0.6667 0.3333 0.4979 x1

---

Th8Co3Sb2 | PBE | relaxed

Uncorrected formation energy = -0.22 eV per atom

Lattice parameters (Å, degrees): 15.813 7.727 7.024 90.00 106.35 90.00
Space group C2/m (No. 12)
Unique sites:
Th1 0.092 0.000 0.387 x4
Th2 0.100 0.257 0.900 x8
Th3 0.106 0.500 0.434 x4
Co1 0.000 0.000 0.000 x2
Co2 0.000 0.256 0.500 x4
Sb1 0.247 0.000 0.815 x4

---

CdInW | PBE | relaxed

Energy of formation = 1.25 eV per formula unit

Lattice parameters (Å, degrees): 2.902 4.955 9.359 104.02 92.16 90.01
Space group P1 (No. 1)
Unique sites:
Cd1 0.000 0.000 0.000 x1
Cd2 0.433 0.817 0.599 x1
In1 0.413 0.202 0.338 x1
In2 0.970 0.397 0.770 x1
W1 0.528 0.528 0.058 x1
W2 0.883 0.686 0.307 x1

---

KSc3Nb | PBE | relaxed

Energy of formation = 7.82 eV per formula unit

Lattice parameters (Å, degrees): 4.829 4.829 4.829 90.00 90.00 90.00
Space group Pm-3m (No. 221)
Unique sites:
K1 0.000 0.000 0.000 x1
Sc1 0.000 0.000 0.500 x3
Nb1 0.500 0.500 0.500 x1

---

PrErMgGa | PBE | relaxed

Energy of formation = -1.30 eV per formula unit

Lattice parameters (Å, degrees): 7.421 7.421 7.421 90.00 90.00 90.00
Space group F-43m (No. 216)
Unique sites:
Pr1 0.000 0.000 0.000 x4
Er1 0.000 0.000 0.500 x4
Mg1 0.250 0.250 0.750 x4
Ga1 0.250 0.250 0.250 x4

---

Ca2Cu | PBE | relaxed

Energy of formation = 0.35 eV per formula unit

Lattice parameters (Å, degrees): 3.8946 3.8946 7.5190 90.00 90.00 120.00
Space group P-6m2 (No. 187)
Unique sites:
Ca1 0.0000 0.0000 0.2496 x2
Cu1 0.3333 0.6667 0.0000 x1